First-principles (PBE-GGA) data for TeSe2Cl after structural relaxation, as listed in Alexandria via LeMat-Bulk.

abc: 3.691 5.059 10.450
angles: 90.00 90.00 90.00
Atoms (fractional coordinates):
1 Te 0.000 0.000 0.000
2 Te 0.500 0.500 0.500
3 Se 0.000 0.500 0.295
4 Se 0.000 0.500 0.705
5 Se 0.500 0.000 0.205
6 Se 0.500 0.000 0.795
7 Cl 0.000 0.000 0.500
8 Cl 0.500 0.500 0.000

Properties
Space group   No. 71
Raw total energy   -2.75 eV/atom
Volume   24.39 A^3/atom
E_form (uncorrected)   0.2380 eV/atom
M_tot   0.00 μB per formula unit

=====

First-principles (PBE-GGA) data for MgTa3Ru after structural relaxation, as listed in Alexandria via LeMat-Bulk.

abc: 4.827 4.827 4.827
angles: 90.00 90.00 90.00
Atoms (fractional coordinates):
1 Mg 0.000 0.000 0.000
2 Ta 0.000 0.500 0.500
3 Ta 0.500 0.000 0.500
4 Ta 0.500 0.500 0.000
5 Ru 0.500 0.500 0.500

Properties
Space group   No. 221
Raw total energy   -8.31 eV/atom
Calculated formation energy   94.5 kJ/mol of atoms
Volume   22.50 A^3/atom
M_tot   0.00 μB per formula unit

=====

First-principles (PBE-GGA) data for Ba3Ag4Pb4 after structural relaxation, as listed in Alexandria via LeMat-Bulk.

abc: 4.639 5.020 15.568
angles: 80.73 81.45 89.97
Atoms (fractional coordinates):
1 Ba 0.000 0.000 0.000
2 Ba 0.146 0.648 0.707
3 Ba 0.854 0.352 0.293
4 Ag 0.311 0.809 0.379
5 Ag 0.452 0.451 0.094
6 Ag 0.548 0.549 0.906
7 Ag 0.689 0.191 0.621
8 Pb 0.253 0.252 0.494
9 Pb 0.405 0.903 0.189
10 Pb 0.595 0.097 0.811
11 Pb 0.747 0.748 0.506

Properties
Space group   No. 2
Raw total energy   -3.22 eV/atom
Calculated formation energy   -29.5 kJ/mol of atoms
Volume   32.16 A^3/atom
M_tot   0.00 μB per formula unit

=====

First-principles (PBE-GGA) data for SmYIn6 after structural relaxation, as listed in Alexandria via LeMat-Bulk.

abc: 6.658 6.658 5.305
angles: 90.00 90.00 120.00
Atoms (fractional coordinates):
1 Sm 0.000 0.000 0.000
2 Y 0.667 0.333 0.500
3 In 0.011 0.505 0.000
4 In 0.174 0.348 0.500
5 In 0.174 0.826 0.500
6 In 0.495 0.505 0.000
7 In 0.495 0.989 0.000
8 In 0.652 0.826 0.500

Properties
Space group   No. 187
Raw total energy   -3.83 eV/atom
Calculated formation energy   -36.6 kJ/mol of atoms
Volume   25.47 A^3/atom
M_tot   0.00 μB per formula unit

=====

First-principles (PBE-GGA) data for BaHo2In2Hg2 after structural relaxation, as listed in Alexandria via LeMat-Bulk.

abc: 10.189 10.189 10.189
angles: 28.67 28.67 28.67
Atoms (fractional coordinates):
1 Ba 0.000 0.000 0.000
2 Ho 0.136 0.136 0.136
3 Ho 0.864 0.864 0.864
4 In 0.253 0.253 0.253
5 In 0.747 0.747 0.747
6 Hg 0.442 0.442 0.442
7 Hg 0.558 0.558 0.558

Properties
Space group   No. 166
Raw total energy   -2.82 eV/atom
Calculated formation energy   -35.5 kJ/mol of atoms
Volume   30.76 A^3/atom
M_tot   0.00 μB per formula unit

=====

First-principles (PBE-GGA) data for PmZn9Co2 after structural relaxation, as listed in Alexandria via LeMat-Bulk.

abc: 8.121 8.121 3.425
angles: 90.00 90.00 120.00
Atoms (fractional coordinates):
1 Pm 0.000 0.000 0.000
2 Zn 0.000 0.500 0.000
3 Zn 0.198 0.396 0.500
4 Zn 0.198 0.802 0.500
5 Zn 0.396 0.198 0.500
6 Zn 0.500 0.000 0.000
7 Zn 0.500 0.500 0.000
8 Zn 0.604 0.802 0.500
9 Zn 0.802 0.198 0.500
10 Zn 0.802 0.604 0.500
11 Co 0.333 0.667 0.000
12 Co 0.667 0.333 0.000

Properties
Space group   No. 191
Raw total energy   -2.61 eV/atom
Calculated formation energy   -7.2 kJ/mol of atoms
Volume   16.30 A^3/atom
M_tot   1.42 μB per formula unit